Density functional theory data (PBE) for a geometry-optimized CaHoPtO4 structure.

Cell and atoms, written as extended XYZ:
```
14
Lattice="-3.280 3.438 4.629 3.280 -3.438 4.629 3.280 3.438 -4.629" Properties=species:S:1:pos:R:3 pbc="T T T"
Ca 0.000 1.719 1.334
Ca 3.280 1.719 3.295
Ho 3.280 0.000 0.000
Ho 0.000 0.000 4.629
Pt 1.640 1.719 -2.314
Pt 1.640 -1.719 2.314
O 3.280 -0.411 2.286
O 3.280 3.028 -2.286
O 1.863 1.719 0.227
O 4.696 1.719 0.227
O -1.417 1.719 4.401
O 1.417 1.719 4.401
O 0.000 0.411 6.915
O 0.000 3.849 2.342
```

E, Ry/atom: -0.498
Uncorrected formation energy, eV per atom: -2.143